(1)
The following is a DFT calculation (PBE) of a geometry-optimized RbCu3Br structure.

Output
* density of states at the Fermi level: 6.28 states/eV per cell
* energy: -7.221 eV/cell
* raw formation energy: 1.5415 eV per atom
* ΔE to the lowest computed polymorph: 766 meV/atom

CIF file:
```
data_RbCu3Br
_cell_length_a 5.6089
_cell_length_b 5.6089
_cell_length_c 5.6089
_cell_angle_alpha 90.00
_cell_angle_beta 90.00
_cell_angle_gamma 90.00
_space_group_name_H-M_alt 'P m -3 m'
_space_group_IT_number 221
_space_group_name_Hall '-P 4 2 3'
loop_
_atom_site_label
_atom_site_type_symbol
_atom_site_fract_x
_atom_site_fract_y
_atom_site_fract_z
_atom_site_occupancy
Rb1 Rb 0.0000 0.0000 0.0000 1
Cu1 Cu 0.0000 0.0000 0.5000 1
Br1 Br 0.5000 0.5000 0.5000 1
```


(2)
The following is a DFT calculation (PBE) of a geometry-optimized Rb3CuBr6 structure.

Output
* density of states at the Fermi level: 4.22 states/eV per cell
* energy: -55.252 eV/cell
* raw formation energy: -1.0590 eV per atom
* ΔE to the lowest computed polymorph: 41 meV/atom

CIF file:
```
data_Rb3CuBr6
_cell_length_a 7.9527
_cell_length_b 8.3498
_cell_length_c 13.8053
_cell_angle_alpha 90.00
_cell_angle_beta 125.08
_cell_angle_gamma 90.00
_space_group_name_H-M_alt 'P 1 21/c 1'
_space_group_IT_number 14
loop_
_space_group_symop_operation_xyz
'x,y,z'
'-x,-y,-z'
'-x,y+1/2,-z+1/2'
'x,-y+1/2,z+1/2'
loop_
_atom_site_label
_atom_site_type_symbol
_atom_site_fract_x
_atom_site_fract_y
_atom_site_fract_z
_atom_site_occupancy
Rb1 Rb 0.0000 0.0000 0.0000 1
Rb2 Rb 0.2254 0.0670 0.7485 1
Cu1 Cu 0.5000 0.0000 0.5000 1
Br1 Br 0.1958 0.1706 0.4563 1
Br2 Br 0.2785 0.7444 0.4399 1
Br3 Br 0.3886 0.0361 0.2884 1
```


(3)
The following is a DFT calculation (PBE) of a geometry-optimized RbCuBr6 structure.

Output
* density of states at the Fermi level: 3.47 states/eV per cell
* energy: -19.362 eV/cell
* raw formation energy: -0.5327 eV per atom

CIF file:
```
data_RbCuBr6
_cell_length_a 6.3369
_cell_length_b 7.2389
_cell_length_c 7.7998
_cell_angle_alpha 117.30
_cell_angle_beta 101.62
_cell_angle_gamma 100.55
_space_group_name_H-M_alt 'P -1'
_space_group_IT_number 2
loop_
_space_group_symop_operation_xyz
'x,y,z'
'-x,-y,-z'
loop_
_atom_site_label
_atom_site_type_symbol
_atom_site_fract_x
_atom_site_fract_y
_atom_site_fract_z
_atom_site_occupancy
Rb1 Rb 0.0000 0.0000 0.0000 1
Cu1 Cu 0.5000 0.0000 0.5000 1
Br1 Br 0.0978 0.4119 0.8747 1
Br2 Br 0.3135 0.2672 0.5704 1
Br3 Br 0.4380 0.9411 0.7607 1
```


(4)
The following is a DFT calculation (PBE) of a geometry-optimized RbCu6Br8 structure.

Output
* density of states at the Fermi level: 38.66 states/eV per cell
* energy: -171.828 eV/cell
* raw formation energy: -0.2686 eV per atom
* ΔE to the lowest computed polymorph: 199 meV/atom

CIF file:
```
data_RbCu6Br8
_cell_length_a 12.5296
_cell_length_b 12.5296
_cell_length_c 12.5296
_cell_angle_alpha 90.00
_cell_angle_beta 90.00
_cell_angle_gamma 90.00
_space_group_name_H-M_alt 'F m -3 m'
_space_group_IT_number 225
_space_group_name_Hall '-F 4 2 3'
loop_
_atom_site_label
_atom_site_type_symbol
_atom_site_fract_x
_atom_site_fract_y
_atom_site_fract_z
_atom_site_occupancy
Rb1 Rb 0.0000 0.0000 0.0000 1
Cu1 Cu 0.0000 0.2500 0.2500 1
Br1 Br 0.1491 0.1491 0.1491 1
```


(5)
The following is a DFT calculation (PBE) of a geometry-optimized Rb2Cu3Br8 structure.

Output
* density of states at the Fermi level: 9.13 states/eV per cell
* energy: -36.371 eV/cell
* raw formation energy: -0.6742 eV per atom
* ΔE to the lowest computed polymorph: 25 meV/atom

CIF file:
```
data_Rb2Cu3Br8
_cell_length_a 5.0261
_cell_length_b 5.0261
_cell_length_c 15.5205
_cell_angle_alpha 90.00
_cell_angle_beta 90.00
_cell_angle_gamma 90.00
_space_group_name_H-M_alt 'P 4/m m m'
_space_group_IT_number 123
_space_group_name_Hall '-P 4 2'
loop_
_atom_site_label
_atom_site_type_symbol
_atom_site_fract_x
_atom_site_fract_y
_atom_site_fract_z
_atom_site_occupancy
Rb1 Rb 0.0000 0.0000 0.1839 1
Cu1 Cu 0.5000 0.5000 0.0000 1
Cu2 Cu 0.5000 0.5000 0.3378 1
Br1 Br 0.0000 0.5000 0.0000 1
Br2 Br 0.0000 0.5000 0.3580 1
Br3 Br 0.5000 0.5000 0.1696 1
```


(6)
The following is a DFT calculation (PBE) of a geometry-optimized Rb2Cu3Br8 structure.

Output
* density of states at the Fermi level: 16.56 states/eV per cell
* energy: -73.390 eV/cell
* raw formation energy: -0.6991 eV per atom
* ΔE to the lowest computed polymorph: 0 meV/atom

CIF file:
```
data_Rb2Cu3Br8
_cell_length_a 14.7654
_cell_length_b 8.5409
_cell_length_c 7.4185
_cell_angle_alpha 90.00
_cell_angle_beta 106.93
_cell_angle_gamma 90.00
_space_group_name_H-M_alt 'C 1 2/m 1'
_space_group_IT_number 12
loop_
_space_group_symop_operation_xyz
'x,y,z'
'-x,-y,-z'
'-x,y,-z'
'x,-y,z'
'x+1/2,y+1/2,z'
'-x+1/2,-y+1/2,-z'
'-x+1/2,y+1/2,-z'
'x+1/2,-y+1/2,z'
loop_
_atom_site_label
_atom_site_type_symbol
_atom_site_fract_x
_atom_site_fract_y
_atom_site_fract_z
_atom_site_occupancy
Rb1 Rb 0.2174 0.0000 0.1114 1
Cu1 Cu 0.0000 0.1851 0.5000 1
Cu2 Cu 0.0000 0.5000 0.0000 1
Br1 Br 0.0655 0.2801 0.8117 1
Br2 Br 0.1275 0.0000 0.4931 1
Br3 Br 0.1537 0.5000 0.2238 1
```


(7)
The following is a DFT calculation (PBE) of a geometry-optimized RbCu2Br3 structure.

Output
* energy: -73.888 eV/cell
* raw formation energy: -0.7156 eV per atom

CIF file:
```
data_RbCu2Br3
_cell_length_a 23.0723
_cell_length_b 4.1894
_cell_length_c 7.4109
_cell_angle_alpha 90.00
_cell_angle_beta 95.94
_cell_angle_gamma 90.00
_space_group_name_H-M_alt 'C 1 2/m 1'
_space_group_IT_number 12
loop_
_space_group_symop_operation_xyz
'x,y,z'
'-x,-y,-z'
'-x,y,-z'
'x,-y,z'
'x+1/2,y+1/2,z'
'-x+1/2,-y+1/2,-z'
'-x+1/2,y+1/2,-z'
'x+1/2,-y+1/2,z'
loop_
_atom_site_label
_atom_site_type_symbol
_atom_site_fract_x
_atom_site_fract_y
_atom_site_fract_z
_atom_site_occupancy
Rb1 Rb 0.1252 0.0000 0.4610 1
Cu1 Cu 0.0546 0.5000 0.9771 1
Cu2 Cu 0.2181 0.0000 0.0376 1
Br1 Br 0.0236 0.5000 0.2808 1
Br2 Br 0.1131 0.0000 0.9306 1
Br3 Br 0.2322 0.5000 0.2452 1
```


(8)
The following is a DFT calculation (PBE) of a geometry-optimized RbCuBr3 structure.

Output
* density of states at the Fermi level: 1.90 states/eV per cell
* energy: -14.380 eV/cell
* raw formation energy: -0.8595 eV per atom

CIF file:
```
data_RbCuBr3
_cell_length_a 5.2040
_cell_length_b 5.2052
_cell_length_c 5.2041
_cell_angle_alpha 90.00
_cell_angle_beta 90.01
_cell_angle_gamma 90.00
_space_group_name_H-M_alt 'P 1 m 1'
_space_group_IT_number 6
loop_
_space_group_symop_operation_xyz
'x,y,z'
'x,-y,z'
loop_
_atom_site_label
_atom_site_type_symbol
_atom_site_fract_x
_atom_site_fract_y
_atom_site_fract_z
_atom_site_occupancy
Rb1 Rb 0.0000 0.0000 0.0000 1
Cu1 Cu 0.5006 0.5000 0.5014 1
Br1 Br 0.0001 0.5000 0.5003 1
Br2 Br 0.4998 0.0000 0.5004 1
Br3 Br 0.4998 0.5000 0.0008 1
```


(9)
The following is a DFT calculation (PBE) of a geometry-optimized RbCuBr3 structure.

Output
* density of states at the Fermi level: 10.96 states/eV per cell
* energy: -28.340 eV/cell
* raw formation energy: -0.8175 eV per atom

CIF file:
```
data_RbCuBr3
_cell_length_a 4.8787
_cell_length_b 4.8787
_cell_length_c 13.5390
_cell_angle_alpha 90.00
_cell_angle_beta 90.00
_cell_angle_gamma 90.00
_space_group_name_H-M_alt 'I 4 m m'
_space_group_IT_number 107
_space_group_name_Hall 'I 4 -2'
loop_
_atom_site_label
_atom_site_type_symbol
_atom_site_fract_x
_atom_site_fract_y
_atom_site_fract_z
_atom_site_occupancy
Rb1 Rb 0.0000 0.0000 0.0000 1
Cu1 Cu 0.0000 0.0000 0.3362 1
Br1 Br 0.0000 0.0000 0.5196 1
Br2 Br 0.0000 0.5000 0.2860 1
```


(10)
The following is a DFT calculation (PBE) of a geometry-optimized Rb4Cu3Br10 structure.

Output
* density of states at the Fermi level: 12.92 states/eV per cell
* energy: -98.552 eV/cell
* raw formation energy: -0.9640 eV per atom

CIF file:
```
data_Rb4Cu3Br10
_cell_length_a 5.1977
_cell_length_b 5.1977
_cell_length_c 37.9703
_cell_angle_alpha 90.00
_cell_angle_beta 90.00
_cell_angle_gamma 90.00
_space_group_name_H-M_alt 'I 4/m m m'
_space_group_IT_number 139
_space_group_name_Hall '-I 4 2'
loop_
_atom_site_label
_atom_site_type_symbol
_atom_site_fract_x
_atom_site_fract_y
_atom_site_fract_z
_atom_site_occupancy
Rb1 Rb 0.0000 0.0000 0.0677 1
Rb2 Rb 0.0000 0.0000 0.2000 1
Cu1 Cu 0.0000 0.0000 0.3609 1
Cu2 Cu 0.0000 0.0000 0.5000 1
Br1 Br 0.0000 0.0000 0.2928 1
Br2 Br 0.0000 0.0000 0.4325 1
Br3 Br 0.0000 0.5000 0.0000 1
Br4 Br 0.0000 0.5000 0.1355 1
```


(11)
The following is a DFT calculation (PBE) of a geometry-optimized RbCu4Br8 structure.

Output
* density of states at the Fermi level: 53.91 states/eV per cell
* energy: -110.181 eV/cell
* raw formation energy: -0.4609 eV per atom

CIF file:
```
data_RbCu4Br8
_cell_length_a 7.5557
_cell_length_b 7.5557
_cell_length_c 25.1466
_cell_angle_alpha 90.00
_cell_angle_beta 90.00
_cell_angle_gamma 120.00
_space_group_name_H-M_alt 'R -3 m'
_space_group_IT_number 166
_space_group_name_Hall '-R 3 2"'
loop_
_atom_site_label
_atom_site_type_symbol
_atom_site_fract_x
_atom_site_fract_y
_atom_site_fract_z
_atom_site_occupancy
Rb1 Rb 0.0000 0.0000 0.0000 1
Cu1 Cu 0.0000 0.0000 0.5000 1
Cu2 Cu 0.0000 0.5000 0.5000 1
Br1 Br 0.0000 0.0000 0.2223 1
Br2 Br 0.0026 0.5013 0.2248 1
```


(12)
The following is a DFT calculation (PBE) of a geometry-optimized Rb3Cu2Br6 structure.

Output
* density of states at the Fermi level: 14.85 states/eV per cell
* energy: -66.275 eV/cell
* raw formation energy: -1.0914 eV per atom

CIF file:
```
data_Rb3Cu2Br6
_cell_length_a 5.0494
_cell_length_b 5.0494
_cell_length_c 28.4142
_cell_angle_alpha 90.00
_cell_angle_beta 90.00
_cell_angle_gamma 90.00
_space_group_name_H-M_alt 'I 4/m m m'
_space_group_IT_number 139
_space_group_name_Hall '-I 4 2'
loop_
_atom_site_label
_atom_site_type_symbol
_atom_site_fract_x
_atom_site_fract_y
_atom_site_fract_z
_atom_site_occupancy
Rb1 Rb 0.0000 0.0000 0.0000 1
Rb2 Rb 0.0000 0.0000 0.1801 1
Cu1 Cu 0.0000 0.0000 0.3943 1
Br1 Br 0.0000 0.0000 0.3049 1
Br2 Br 0.0000 0.5000 0.0859 1
```


Please write out number 9 again, unchanged.
The following is a DFT calculation (PBE) of a geometry-optimized RbCuBr3 structure.

Output
* density of states at the Fermi level: 10.96 states/eV per cell
* energy: -28.340 eV/cell
* raw formation energy: -0.8175 eV per atom

CIF file:
```
data_RbCuBr3
_cell_length_a 4.8787
_cell_length_b 4.8787
_cell_length_c 13.5390
_cell_angle_alpha 90.00
_cell_angle_beta 90.00
_cell_angle_gamma 90.00
_space_group_name_H-M_alt 'I 4 m m'
_space_group_IT_number 107
_space_group_name_Hall 'I 4 -2'
loop_
_atom_site_label
_atom_site_type_symbol
_atom_site_fract_x
_atom_site_fract_y
_atom_site_fract_z
_atom_site_occupancy
Rb1 Rb 0.0000 0.0000 0.0000 1
Cu1 Cu 0.0000 0.0000 0.3362 1
Br1 Br 0.0000 0.0000 0.5196 1
Br2 Br 0.0000 0.5000 0.2860 1
```